1.
# Be2AlP

Crystalline Be2AlP at its relaxed geometry (PBE-GGA, Alexandria).

abc: 3.159 3.263 9.896
angles: 90.00 90.00 90.00
Space group Imm2 (No. 44)
Symmetry-distinct sites (fractional):
Be 0.000 0.000 0.000 [2 per cell]
Be 0.000 0.500 0.154 [2 per cell]
Al 0.000 0.000 0.371 [2 per cell]
P 0.000 0.500 0.655 [2 per cell]

Calculated values
As for the energy above the lowest structure with this stoichiometry: 0.029 eV per atom. The calculated formation energy is 176 meV/atom.

2.
# NdScTe

Crystalline NdScTe at its relaxed geometry (PBE-GGA, Alexandria).

abc: 4.346 4.346 17.134
angles: 90.00 90.00 90.00
Space group I4/mmm (No. 139)
Symmetry-distinct sites (fractional):
Nd 0.000 0.000 0.179 [4 per cell]
Sc 0.000 0.500 0.000 [4 per cell]
Te 0.000 0.000 0.374 [4 per cell]

Calculated values
As for the energy above the lowest structure with this stoichiometry: 0.011 eV per atom.

3.
# K2NiPb

Crystalline K2NiPb at its relaxed geometry (PBE-GGA, Alexandria).

abc: 4.806 4.824 10.564
angles: 90.00 90.00 90.00
Space group Cmmm (No. 65)
Symmetry-distinct sites (fractional):
K 0.000 0.000 0.212 [4 per cell]
Ni 0.000 0.500 0.000 [2 per cell]
Pb 0.000 0.500 0.500 [2 per cell]

Calculated values
The calculated formation energy is 493 meV/atom.

4.
# ZrInPd

Crystalline ZrInPd at its relaxed geometry (PBE-GGA, Alexandria).

abc: 4.7316 4.7316 3.0212
angles: 90.00 90.00 120.00
Space group P-6m2 (No. 187)
Symmetry-distinct sites (fractional):
Zr 0.0000 0.0000 0.0000 [1 per cell]
In 0.3333 0.6667 0.5000 [1 per cell]
Pd 0.6667 0.3333 0.5000 [1 per cell]

Calculated values
The calculated formation energy is -494 meV/atom.

5.
# La2TlSi

Crystalline La2TlSi at its relaxed geometry (PBE-GGA, Alexandria).

abc: 5.092 5.092 8.671
angles: 90.00 90.00 90.00
Space group I4/mmm (No. 139)
Symmetry-distinct sites (fractional):
La 0.000 0.500 0.250 [4 per cell]
Tl 0.000 0.000 0.000 [2 per cell]
Si 0.000 0.000 0.500 [2 per cell]

Calculated values
The calculation puts the total energy at -4.82 eV per atom.

6.
# RbTi2SbPt

Crystalline RbTi2SbPt at its relaxed geometry (PBE-GGA, Alexandria).

abc: 5.083 5.083 5.484
angles: 90.00 90.00 90.00
Space group P4/mmm (No. 123)
Symmetry-distinct sites (fractional):
Rb 0.000 0.000 0.000 [1 per cell]
Ti 0.000 0.500 0.500 [2 per cell]
Sb 0.500 0.500 0.000 [1 per cell]
Pt 0.500 0.500 0.500 [1 per cell]

Calculated values
The calculation puts the total energy at -4.98 eV per atom.

7.
# Tm11Ga9Co4

Crystalline Tm11Ga9Co4 at its relaxed geometry (PBE-GGA, Alexandria).

abc: 13.560 20.295 3.517
angles: 90.00 90.00 90.00
Space group Cmmm (No. 65)
Symmetry-distinct sites (fractional):
Tm 0.000 0.000 0.000 [2 per cell]
Tm 0.000 0.168 0.000 [4 per cell]
Tm 0.000 0.375 0.000 [4 per cell]
Tm 0.189 0.500 0.000 [4 per cell]
Tm 0.244 0.170 0.000 [8 per cell]
Ga 0.000 0.500 0.500 [2 per cell]
Ga 0.103 0.269 0.500 [8 per cell]
Ga 0.150 0.070 0.500 [8 per cell]
Co 0.155 0.399 0.500 [8 per cell]

Calculated values
The calculated formation energy is -536 meV/atom.

8.
# HfTi2Mn

Crystalline HfTi2Mn at its relaxed geometry (PBE-GGA, Alexandria).

abc: 3.078 18.965 4.610
angles: 90.00 90.00 90.00
Space group Cmcm (No. 63)
Symmetry-distinct sites (fractional):
Hf 0.000 0.116 0.250 [4 per cell]
Ti 0.000 0.244 0.750 [4 per cell]
Ti 0.000 0.465 0.250 [4 per cell]
Mn 0.000 0.354 0.250 [4 per cell]

Calculated values
As for the energy above the lowest structure with this stoichiometry: 0.131 eV per atom. The calculated formation energy is -13 meV/atom.

9.
# GeBiP3

Crystalline GeBiP3 at its relaxed geometry (PBE-GGA, Alexandria).

abc: 5.215 5.215 5.215
angles: 90.00 90.00 90.00
Space group Pm-3m (No. 221)
Symmetry-distinct sites (fractional):
Ge 0.000 0.000 0.000 [1 per cell]
Bi 0.500 0.500 0.500 [1 per cell]
P 0.000 0.500 0.500 [3 per cell]

Calculated values
As for the energy above the lowest structure with this stoichiometry: 0.698 eV per atom. The calculated formation energy is 1452 meV/atom.

10.
# MnGaCoRuS

Crystalline MnGaCoRuS at its relaxed geometry (PBE-GGA, Alexandria).

abc: 3.184 3.088 13.312
angles: 90.00 90.00 90.00
Space group Amm2 (No. 38)
Symmetry-distinct sites (fractional):
Mn 0.000 0.000 0.000 [2 per cell]
Ga 0.000 0.000 0.206 [2 per cell]
Co 0.500 0.000 0.612 [2 per cell]
Ru 0.500 0.000 0.814 [2 per cell]
S 0.500 0.000 0.444 [2 per cell]

Calculated values
As for the energy above the lowest structure with this stoichiometry: 0.014 eV per atom.

11.
# Tb2NdY

Crystalline Tb2NdY at its relaxed geometry (PBE-GGA, Alexandria).

abc: 3.5951 3.5951 35.1663
angles: 90.00 90.00 120.00
Space group R-3m (No. 166, hexagonal axes)
Symmetry-distinct sites (fractional):
Tb 0.0000 0.0000 0.2490 [6 per cell]
Nd 0.0000 0.0000 0.0000 [3 per cell]
Y 0.0000 0.0000 0.5000 [3 per cell]

Calculated values
As for the energy above the lowest structure with this stoichiometry: 0.011 eV per atom. The calculated formation energy is 18 meV/atom.

12.
# Ba2BeSi3

Crystalline Ba2BeSi3 at its relaxed geometry (PBE-GGA, Alexandria).

abc: 8.134 10.310 14.121
angles: 90.00 90.00 90.00
Space group Fmmm (No. 69)
Symmetry-distinct sites (fractional):
Ba 0.000 0.240 0.000 [8 per cell]
Ba 0.250 0.250 0.250 [8 per cell]
Be 0.000 0.000 0.334 [8 per cell]
Si 0.000 0.000 0.171 [8 per cell]
Si 0.241 0.000 0.414 [16 per cell]

Calculated values
The calculation puts the total energy at -4.32 eV per atom.

13.
# Zr2ScIn

Crystalline Zr2ScIn at its relaxed geometry (PBE-GGA, Alexandria).

abc: 4.589 3.902 10.885
angles: 90.00 102.15 90.00
Space group P2_1/m (No. 11)
Symmetry-distinct sites (fractional):
Zr 0.055 0.250 0.109 [2 per cell]
Zr 0.443 0.250 0.886 [2 per cell]
Sc 0.307 0.750 0.614 [2 per cell]
In 0.167 0.750 0.333 [2 per cell]

Calculated values
The calculated formation energy is -175 meV/atom.

14.
# MgTi2Ru2

Crystalline MgTi2Ru2 at its relaxed geometry (PBE-GGA, Alexandria).

abc: 7.338 7.338 3.024
angles: 90.00 90.00 90.00
Space group P4/mbm (No. 127)
Symmetry-distinct sites (fractional):
Mg 0.000 0.000 0.000 [2 per cell]
Ti 0.149 0.351 0.500 [4 per cell]
Ru 0.145 0.645 0.000 [4 per cell]

Calculated values
As for the energy above the lowest structure with this stoichiometry: 0.000 eV per atom. The calculated formation energy is -345 meV/atom.

15.
# TbBeCo

Crystalline TbBeCo at its relaxed geometry (PBE-GGA, Alexandria).

abc: 3.8042 3.8042 3.9027
angles: 90.00 90.00 120.00
Space group P-6m2 (No. 187)
Symmetry-distinct sites (fractional):
Tb 0.0000 0.0000 0.0000 [1 per cell]
Be 0.6667 0.3333 0.5000 [1 per cell]
Co 0.3333 0.6667 0.5000 [1 per cell]

Calculated values
As for the energy above the lowest structure with this stoichiometry: 0.069 eV per atom. The calculated formation energy is -150 meV/atom.

16.
# LiY2Pb

Crystalline LiY2Pb at its relaxed geometry (PBE-GGA, Alexandria).

abc: 4.958 4.958 4.321
angles: 90.00 90.00 90.00
Space group P4/mmm (No. 123)
Symmetry-distinct sites (fractional):
Li 0.000 0.000 0.000 [1 per cell]
Y 0.000 0.500 0.500 [2 per cell]
Pb 0.500 0.500 0.000 [1 per cell]

Calculated values
The calculated formation energy is -326 meV/atom.

17.
# CrPt2Cl

Crystalline CrPt2Cl at its relaxed geometry (PBE-GGA, Alexandria).

abc: 8.808 2.873 6.393
angles: 90.00 100.26 90.00
Space group Cm (No. 8)
Symmetry-distinct sites (fractional):
Cr 0.000 0.000 0.000 [2 per cell]
Pt 0.240 0.500 0.140 [2 per cell]
Pt 0.491 0.000 0.331 [2 per cell]
Cl 0.427 0.000 0.713 [2 per cell]

Calculated values
As for the energy above the lowest structure with this stoichiometry: 0.016 eV per atom.

18.
# Tb4CeNd2

Crystalline Tb4CeNd2 at its relaxed geometry (PBE-GGA, Alexandria).

abc: 6.261 3.610 20.442
angles: 90.00 95.91 90.00
Space group Cm (No. 8)
Symmetry-distinct sites (fractional):
Tb 0.000 0.000 0.000 [2 per cell]
Tb 0.024 0.500 0.569 [2 per cell]
Tb 0.404 0.500 0.709 [2 per cell]
Tb 0.430 0.000 0.287 [2 per cell]
Ce 0.305 0.500 0.428 [2 per cell]
Nd 0.122 0.500 0.855 [2 per cell]
Nd 0.212 0.500 0.143 [2 per cell]

Calculated values
As for the energy above the lowest structure with this stoichiometry: 0.000 eV per atom. The calculated formation energy is 45 meV/atom.

19.
# RbCoOs

Crystalline RbCoOs at its relaxed geometry (PBE-GGA, Alexandria).

abc: 5.045 4.206 6.566
angles: 90.00 97.94 90.00
Space group P2_1/m (No. 11)
Symmetry-distinct sites (fractional):
Rb 0.242 0.250 0.430 [2 per cell]
Co 0.094 0.250 0.950 [2 per cell]
Os 0.375 0.750 0.015 [2 per cell]

Calculated values
As for the energy above the lowest structure with this stoichiometry: 0.074 eV per atom. The calculated formation energy is 726 meV/atom.

20.
# Li3AlBi3

Crystalline Li3AlBi3 at its relaxed geometry (PBE-GGA, Alexandria).

abc: 8.981 11.522 7.292
angles: 90.00 104.44 90.00
Space group C2/m (No. 12)
Symmetry-distinct sites (fractional):
Li 0.000 0.135 0.000 [4 per cell]
Li 0.000 0.285 0.500 [4 per cell]
Li 0.140 0.500 0.936 [4 per cell]
Al 0.098 0.000 0.699 [4 per cell]
Bi 0.228 0.000 0.378 [4 per cell]
Bi 0.232 0.295 0.205 [8 per cell]

Calculated values
The calculated formation energy is -163 meV/atom.

21.
# CsHfAg2I8

Crystalline CsHfAg2I8 at its relaxed geometry (PBE-GGA, Alexandria).

abc: 12.463 8.320 10.838
angles: 90.00 106.59 90.00
Space group C2/m (No. 12)
Symmetry-distinct sites (fractional):
Cs 0.000 0.000 0.000 [2 per cell]
Hf 0.000 0.000 0.500 [2 per cell]
Ag 0.097 0.500 0.315 [4 per cell]
I 0.065 0.240 0.697 [8 per cell]
I 0.135 0.500 0.073 [4 per cell]
I 0.218 0.000 0.466 [4 per cell]

Calculated values
The calculation puts the total energy at -3.08 eV per atom.

22.
# NaSmTh2S4

Crystalline NaSmTh2S4 at its relaxed geometry (PBE-GGA, Alexandria).

abc: 6.920 3.996 7.076
angles: 90.00 108.84 90.00
Space group P2/m (No. 10)
Symmetry-distinct sites (fractional):
Na 0.000 0.000 0.000 [1 per cell]
Sm 0.500 0.500 0.000 [1 per cell]
Th 0.000 0.500 0.500 [1 per cell]
Th 0.500 0.000 0.500 [1 per cell]
S 0.247 0.500 0.246 [2 per cell]
S 0.248 0.000 0.757 [2 per cell]

Calculated values
The calculation puts the total energy at -6.45 eV per atom.

23.
# BaS2N2

Crystalline BaS2N2 at its relaxed geometry (PBE-GGA, Alexandria).

abc: 11.564 4.771 9.312
angles: 90.00 124.29 90.00
Space group C2/c (No. 15)
Symmetry-distinct sites (fractional):
Ba 0.000 0.108 0.250 [4 per cell]
S 0.155 0.462 0.623 [8 per cell]
N 0.086 0.318 0.974 [8 per cell]

Calculated values
As for the energy above the lowest structure with this stoichiometry: 0.000 eV per atom.

24.
# Tl2In5Sn2Hg3

Crystalline Tl2In5Sn2Hg3 at its relaxed geometry (PBE-GGA, Alexandria).

abc: 4.505 4.505 33.475
angles: 90.00 90.00 90.00
Space group I4/mmm (No. 139)
Symmetry-distinct sites (fractional):
Tl 0.000 0.000 0.245 [4 per cell]
In 0.000 0.000 0.000 [2 per cell]
In 0.000 0.500 0.078 [8 per cell]
Sn 0.000 0.000 0.150 [4 per cell]
Hg 0.000 0.000 0.340 [4 per cell]
Hg 0.000 0.000 0.500 [2 per cell]

Calculated values
The calculated formation energy is 57 meV/atom.